The following is a GGA-PBE calculation of a geometry-optimized Tc2AgPb structure, from the Alexandria database.

abc: 9.992 9.992 9.992
angles: 17.00 17.00 17.00
Atoms (fractional coordinates):
Ag1 0.509 0.509 0.509
Tc1 0.257 0.257 0.257
Tc2 0.990 0.990 0.990
Pb1 0.744 0.744 0.744

- DFT total energy: -25.5 eV per cell
- Symmetry: R3m, No. 160
- Theoretical density: 11.4 g cm⁻³
- Energy of formation from the pure elements: 1.8 eV per formula unit


The following is a GGA-PBE calculation of a geometry-optimized TcAg2Pb structure, from the Alexandria database.

abc: 3.603 3.603 6.124
angles: 90.00 90.00 90.00
Last column: magnetic moment on the atom in μB.
Atoms (fractional coordinates):
Ag1 0.000 0.000 0.523  0.04
Ag2 0.000 0.000 0.977  0.04
Tc1 0.500 0.500 0.750  1.92
Pb1 0.500 0.500 0.250  -0.03

- DFT total energy: -17.2 eV per cell
- Symmetry: P4/mmm, No. 123
- Theoretical density: 10.9 g cm⁻³
- Energy of formation from the pure elements: 2.6 eV per formula unit


The following is a GGA-PBE calculation of a geometry-optimized TcAgPb2 structure, from the Alexandria database.

abc: 3.425 5.646 4.594
angles: 90.00 90.00 90.00
Last column: magnetic moment on the atom in μB.
Atoms (fractional coordinates):
Ag1 0.000 0.500 0.500  0.00
Pb1 0.500 0.500 0.000  -0.01
Pb2 0.000 0.000 0.000  -0.03
Tc1 0.500 0.000 0.500  0.77

- Distance to the lowest polymorph of the same formula: 214 meV/atom
- DFT total energy: -17.9 eV per cell
- Symmetry: Pmmm, No. 47
- Theoretical density: 11.6 g cm⁻³
- Energy of formation from the pure elements: 2.7 eV per formula unit


The following is a GGA-PBE calculation of a geometry-optimized TcAg2Pb structure, from the Alexandria database.

abc: 5.060 5.060 5.440
angles: 81.51 81.51 33.75
Atoms (fractional coordinates):
Ag1 0.993 0.993 0.985
Tc1 0.257 0.257 0.260
Pb1 0.508 0.508 0.470
Ag2 0.742 0.742 0.784

- DFT total energy: -17.5 eV per cell
- Symmetry: Cm, No. 8
- Theoretical density: 11.3 g cm⁻³
- Energy of formation from the pure elements: 2.3 eV per formula unit


The following is a GGA-PBE calculation of a geometry-optimized Tc2AgPb structure, from the Alexandria database.

abc: 3.042 3.042 7.816
angles: 90.00 90.00 90.00
Last column: magnetic moment on the atom in μB.
Atoms (fractional coordinates):
Tc1 0.000 0.000 0.012  1.47
Pb1 0.500 0.500 0.750  -0.02
Ag1 0.500 0.500 0.250  0.06
Tc2 0.000 0.000 0.488  1.47

- DFT total energy: -23.5 eV per cell
- Symmetry: P4/mmm, No. 123
- Theoretical density: 11.7 g cm⁻³
- Energy of formation from the pure elements: 3.8 eV per formula unit


The following is a GGA-PBE calculation of a geometry-optimized TcAgPb2 structure, from the Alexandria database.

abc: 7.136 7.136 7.136
angles: 154.66 142.74 45.59
Atoms (fractional coordinates):
Pb1 0.697 0.197 0.500
Ag1 0.315 0.815 0.500
Pb2 0.988 0.988 0.000
Tc1 0.500 0.500 0.000

- Distance to the lowest polymorph of the same formula: 0 meV/atom
- DFT total energy: -18.8 eV per cell
- Symmetry: Imm2, No. 44
- Theoretical density: 11.0 g cm⁻³
- Energy of formation from the pure elements: 1.8 eV per formula unit


The following is a GGA-PBE calculation of a geometry-optimized TlTc2AgPb structure, from the Alexandria database.

abc: 5.183 5.260 5.183
angles: 90.00 90.00 90.00
Last column: magnetic moment on the atom in μB.
Atoms (fractional coordinates):
Tl1 0.500 0.500 0.500  -0.02
Tc1 0.500 0.000 0.000  2.89
Tc2 0.000 0.000 0.500  3.27
Pb1 0.000 0.500 0.000  -0.06
Ag1 0.000 0.000 0.000  0.12

- DFT total energy: -21.2 eV per cell
- Symmetry: P4/mmm, No. 123
- Theoretical density: 8.4 g cm⁻³
- Energy of formation from the pure elements: 8.5 eV per formula unit


The following is a GGA-PBE calculation of a geometry-optimized VTcAg2Pb structure, from the Alexandria database.

abc: 5.114 4.291 5.114
angles: 90.00 90.00 90.00
Atoms (fractional coordinates):
Pb1 0.500 0.500 0.500
V1 0.000 0.000 0.000
Tc1 0.000 0.500 0.000
Ag1 0.500 0.000 0.000
Ag2 0.000 0.000 0.500

- DFT total energy: -24.1 eV per cell
- Symmetry: P4/mmm, No. 123
- Theoretical density: 8.5 g cm⁻³
- Energy of formation from the pure elements: 4.8 eV per formula unit


The following is a GGA-PBE calculation of a geometry-optimized AgTePb2 structure, from the Alexandria database.

abc: 4.174 4.698 6.612
angles: 66.03 90.00 90.00
Atoms (fractional coordinates):
Ag1 0.500 0.597 0.813
Te1 0.000 0.648 0.459
Pb1 0.000 0.996 0.930
Pb2 0.500 0.258 0.298

- Raw formation energy: -0.03 eV per atom
- DFT total energy: -13.5 eV per cell
- Symmetry: Pm, No. 6
- Theoretical density: 9.1 g cm⁻³


The following is a GGA-PBE calculation of a geometry-optimized AgTe2Pb structure, from the Alexandria database.

abc: 8.089 8.089 8.089
angles: 151.45 151.31 40.92
Atoms (fractional coordinates):
Te1 0.027 0.027 0.000
Pb1 0.203 0.703 0.500
Ag1 0.465 0.465 0.000
Te2 0.805 0.305 0.500

- Raw formation energy: -0.05 eV per atom
- DFT total energy: -13.0 eV per cell
- Symmetry: Imm2, No. 44
- Theoretical density: 7.8 g cm⁻³


The following is a GGA-PBE calculation of a geometry-optimized AgTe2Pb structure, from the Alexandria database.

abc: 3.217 3.217 11.287
angles: 90.00 90.00 90.00
Atoms (fractional coordinates):
Ag1 0.000 0.000 0.506
Te1 0.500 0.500 0.315
Te2 0.000 0.000 0.974
Pb1 0.500 0.500 0.705

- Raw formation energy: 0.12 eV per atom
- DFT total energy: -12.4 eV per cell
- Symmetry: P4mm, No. 99
- Theoretical density: 8.1 g cm⁻³


The following is a GGA-PBE calculation of a geometry-optimized AgTePb2 structure, from the Alexandria database.

abc: 7.155 7.155 7.155
angles: 147.15 143.55 49.87
Atoms (fractional coordinates):
Ag1 0.750 0.250 0.500
Pb1 0.938 0.938 0.000
Pb2 0.562 0.562 0.000
Te1 0.250 0.750 0.500

- Raw formation energy: 0.05 eV per atom
- DFT total energy: -13.2 eV per cell
- Symmetry: Immm, No. 71
- Theoretical density: 9.2 g cm⁻³